--- one ---
Material: Tb3NdCd
Method: DFT, GGA-PBE
State: relaxed

```
Tb3NdCd
1.0
7.384 -6.731 0.000
7.384 6.731 0.000
-1.556 0.000 6.189
Tb Nd Cd
12 4 4
direct
0.040 0.166 0.477
0.129 0.508 0.380
0.166 0.040 0.977
0.238 0.366 0.875
0.366 0.238 0.375
0.492 0.871 0.120
0.508 0.129 0.880
0.634 0.762 0.625
0.762 0.634 0.125
0.834 0.960 0.023
0.871 0.492 0.620
0.960 0.834 0.523
0.100 0.705 0.996
0.295 0.900 0.504
0.705 0.100 0.496
0.900 0.295 0.004
0.375 0.625 0.750
0.410 0.590 0.250
0.590 0.410 0.750
0.625 0.375 0.250
```

Properties
total moment = 0.00 μB per cell

=====

--- two ---
Material: Tb3NdCd
Method: DFT, GGA-PBE
State: relaxed

```
Tb3NdCd
1.0
-1.789 2.790 7.794
1.789 -2.790 7.794
1.789 2.790 -7.794
Tb Nd Cd
3 1 1
direct
0.000 0.000 0.000
0.428 0.428 0.000
0.619 0.119 0.500
0.215 0.715 0.500
0.820 0.320 0.500
```

Properties
total moment = 0.00 μB per cell

=====

On energetic grounds, two is preferred over the next structure by 2.1 kJ/mol of atoms.

=====

--- one ---
Material: Tb6NdCd2
Method: DFT, GGA-PBE
State: relaxed

```
Tb6NdCd2
1.0
3.578 2.066 6.388
-3.578 2.066 6.388
0.000 -4.132 6.388
Tb Nd Cd
6 1 2
direct
0.168 0.171 0.661
0.171 0.661 0.168
0.381 0.828 0.383
0.383 0.381 0.828
0.661 0.168 0.171
0.828 0.383 0.381
0.111 0.111 0.111
0.675 0.675 0.675
0.861 0.861 0.861
```

Properties
total moment = 0.00 μB per cell

=====

--- two ---
Material: Tb6NdCd2
Method: DFT, GGA-PBE
State: relaxed

```
Tb6NdCd2
1.0
6.347 -1.882 0.000
6.347 1.882 0.000
-3.758 0.000 11.363
Tb Nd Cd
6 1 2
direct
0.015 0.015 0.342
0.312 0.312 0.417
0.315 0.315 0.124
0.685 0.685 0.876
0.688 0.688 0.583
0.985 0.985 0.658
0.000 0.000 0.000
0.351 0.351 0.785
0.649 0.649 0.215
```

Properties
total moment = 0.00 μB per cell

=====

On energetic grounds, two is preferred over the next structure by 49.8 kJ/mol of atoms.

=====

--- one ---
Material: Tb3Nd2Cd2
Method: DFT, GGA-PBE
State: relaxed

```
Tb3Nd2Cd2
1.0
1.799 -16.584 0.000
1.799 16.584 0.000
0.000 0.000 3.550
Tb Nd Cd
3 2 2
direct
0.000 0.000 0.000
0.425 0.575 0.500
0.575 0.425 0.500
0.297 0.703 0.500
0.703 0.297 0.500
0.137 0.863 0.000
0.863 0.137 0.000
```

Properties
total moment = 0.00 μB per cell

=====

--- two ---
Material: Tb3Nd2Cd2
Method: DFT, GGA-PBE
State: relaxed

```
Tb3Nd2Cd2
1.0
2.738 1.581 8.077
-2.738 1.581 8.077
0.000 -3.161 8.077
Tb Nd Cd
3 2 2
direct
0.000 0.000 0.000
0.156 0.156 0.156
0.844 0.844 0.844
0.425 0.425 0.425
0.575 0.575 0.575
0.287 0.287 0.287
0.713 0.713 0.713
```

Properties
total moment = 0.00 μB per cell

=====

On energetic grounds, two is preferred over the next structure by 3.7 kJ/mol of atoms.

=====

--- one ---
Material: TbNdThCd
Method: DFT, GGA-PBE
State: relaxed

```
TbNdThCd
1.0
0.000 3.912 3.912
3.912 0.000 3.912
3.912 3.912 0.000
Tb Nd Th Cd
1 1 1 1
direct
0.000 0.000 0.000
0.500 0.500 0.500
0.250 0.250 0.250
0.750 0.750 0.750
```

Properties
total moment = 0.00 μB per cell

=====

--- two ---
Material: TbNdThCd
Method: DFT, GGA-PBE
State: relaxed

```
TbNdThCd
1.0
3.641 0.000 0.000
0.000 3.641 0.000
0.000 0.000 9.018
Tb Nd Th Cd
1 1 1 1
direct
0.000 0.000 0.000
0.000 0.000 0.534
0.500 0.500 0.263
0.500 0.500 0.777
```

Properties
total moment = 0.00 μB per cell

=====

On energetic grounds, two is preferred over the next structure by 24.0 kJ/mol of atoms.

=====

--- one ---
Material: TbNdTmCd
Method: DFT, GGA-PBE
State: relaxed

```
TbNdTmCd
1.0
3.620 0.000 0.000
0.000 3.620 0.000
0.000 0.000 9.022
Tb Nd Tm Cd
1 1 1 1
direct
0.000 0.000 0.000
0.500 0.500 0.282
0.000 0.000 0.559
0.500 0.500 0.773
```

Properties
total moment = 0.00 μB per cell

=====

--- two ---
Material: TbNdTmCd
Method: DFT, GGA-PBE
State: relaxed

```
TbNdTmCd
1.0
0.000 3.881 3.881
3.881 0.000 3.881
3.881 3.881 0.000
Tb Nd Tm Cd
1 1 1 1
direct
0.000 0.000 0.000
0.500 0.500 0.500
0.250 0.250 0.250
0.750 0.750 0.750
```

Properties
total moment = 0.00 μB per cell

=====

On energetic grounds, one is preferred over the next structure by 10.3 kJ/mol of atoms.

=====

--- one ---
Material: TbNdZnCd
Method: DFT, GGA-PBE
State: relaxed

```
TbNdZnCd
1.0
0.000 3.730 3.730
3.730 0.000 3.730
3.730 3.730 0.000
Tb Nd Zn Cd
1 1 1 1
direct
0.000 0.000 0.000
0.500 0.500 0.500
0.250 0.250 0.250
0.750 0.750 0.750
```

Properties
total moment = 0.36 μB per cell

=====

--- two ---
Material: TbNdZnCd
Method: DFT, GGA-PBE
State: relaxed

```
TbNdZnCd
1.0
3.666 0.000 0.000
0.000 3.666 0.000
0.000 0.000 7.646
Tb Nd Zn Cd
1 1 1 1
direct
0.000 0.000 0.000
0.000 0.000 0.539
0.500 0.500 0.784
0.500 0.500 0.257
```

Properties
total moment = 0.00 μB per cell

=====

On energetic grounds, two is preferred over the next structure by 2.7 kJ/mol of atoms.

=====

--- one ---
Material: NdCdTe2
Method: DFT, GGA-PBE
State: relaxed

```
NdCdTe2
1.0
2.271 1.311 9.283
-2.271 1.311 9.283
0.000 -2.622 9.283
Nd Cd Te
1 1 2
direct
0.000 0.000 0.000
0.500 0.500 0.500
0.397 0.397 0.397
0.603 0.603 0.603
```

Properties
total moment = 0.00 μB per cell

=====

--- two ---
Material: NdCdTe2
Method: DFT, GGA-PBE
State: relaxed

```
NdCdTe2
1.0
2.216 1.280 7.797
-2.216 1.280 7.797
0.000 -2.559 7.797
Nd Cd Te
1 1 2
direct
0.000 0.000 0.000
0.165 0.165 0.165
0.412 0.412 0.412
0.583 0.583 0.583
```

Properties
total moment = 0.00 μB per cell

=====

On energetic grounds, two is preferred over the next structure by 6.8 kJ/mol of atoms.

=====

--- one ---
Material: Nd2CdTe
Method: DFT, GGA-PBE
State: relaxed

```
Nd2CdTe
1.0
2.167 1.251 7.913
-2.167 1.251 7.913
0.000 -2.502 7.913
Nd Cd Te
2 1 1
direct
0.247 0.247 0.247
0.753 0.753 0.753
0.000 0.000 0.000
0.500 0.500 0.500
```

Properties
total moment = 0.00 μB per cell

=====

--- two ---
Material: Nd2CdTe
Method: DFT, GGA-PBE
State: relaxed

```
Nd2CdTe
1.0
3.997 0.000 0.000
0.000 3.997 0.000
0.000 0.000 7.220
Nd Cd Te
2 1 1
direct
0.000 0.000 0.248
0.000 0.000 0.752
0.500 0.500 0.500
0.500 0.500 0.000
```

Properties
total moment = 0.00 μB per cell

=====

On energetic grounds, one is preferred over the next structure by 3.0 kJ/mol of atoms.

=====

--- one ---
Material: NdTh2Cd
Method: DFT, GGA-PBE
State: relaxed

```
NdTh2Cd
1.0
4.897 0.000 0.000
0.000 4.897 0.000
0.000 0.000 5.069
Nd Th Cd
1 2 1
direct
0.000 0.000 0.000
0.000 0.500 0.500
0.500 0.000 0.500
0.500 0.500 0.000
```

Properties
total moment = 0.00 μB per cell

=====

--- two ---
Material: NdTh2Cd
Method: DFT, GGA-PBE
State: relaxed

```
NdTh2Cd
1.0
1.700 0.982 12.472
-1.700 0.982 12.472
0.000 -1.963 12.472
Nd Th Cd
1 2 1
direct
0.000 0.000 0.000
0.092 0.092 0.092
0.908 0.908 0.908
0.500 0.500 0.500
```

Properties
total moment = 0.00 μB per cell

=====

On energetic grounds, one is preferred over the next structure by 20.6 kJ/mol of atoms.

=====

--- one ---
Material: NdThCd2
Method: DFT, GGA-PBE
State: relaxed

```
NdThCd2
1.0
0.000 3.849 3.849
3.849 0.000 3.849
3.849 3.849 0.000
Nd Th Cd
1 1 2
direct
0.000 0.000 0.000
0.500 0.500 0.500
0.250 0.250 0.250
0.750 0.750 0.750
```

Properties
total moment = 0.00 μB per cell

=====

--- two ---
Material: NdThCd2
Method: DFT, GGA-PBE
State: relaxed

```
NdThCd2
1.0
3.820 0.000 0.000
0.000 3.820 0.000
0.000 0.000 7.794
Nd Th Cd
1 1 2
direct
0.000 0.000 0.000
0.000 0.000 0.500
0.500 0.500 0.246
0.500 0.500 0.754
```

Properties
total moment = 0.16 μB per cell

=====

On energetic grounds, two is preferred over the next structure by 2.4 kJ/mol of atoms.

=====

--- one ---
Material: NdTmThCd
Method: DFT, GGA-PBE
State: relaxed

```
NdTmThCd
1.0
3.625 0.000 0.000
0.000 3.625 0.000
0.000 0.000 8.944
Nd Tm Th Cd
1 1 1 1
direct
0.000 0.000 0.000
0.000 0.000 0.463
0.500 0.500 0.724
0.500 0.500 0.248
```

Properties
total moment = 0.00 μB per cell

=====

--- two ---
Material: NdTmThCd
Method: DFT, GGA-PBE
State: relaxed

```
NdTmThCd
1.0
0.000 3.904 3.904
3.904 0.000 3.904
3.904 3.904 0.000
Nd Tm Th Cd
1 1 1 1
direct
0.000 0.000 0.000
0.250 0.250 0.250
0.500 0.500 0.500
0.750 0.750 0.750
```

Properties
total moment = 0.00 μB per cell

=====

On energetic grounds, one is preferred over the next structure by 18.2 kJ/mol of atoms.

=====

--- one ---
Material: Nd2TiCd
Method: DFT, GGA-PBE
State: relaxed

```
Nd2TiCd
1.0
3.479 0.000 0.000
0.000 3.479 0.000
0.000 0.000 8.951
Nd Ti Cd
2 1 1
direct
0.000 0.000 0.241
0.000 0.000 0.759
0.500 0.500 0.000
0.500 0.500 0.500
```

Properties
total moment = 0.00 μB per cell

=====

--- two ---
Material: Nd2TiCd
Method: DFT, GGA-PBE
State: relaxed

```
Nd2TiCd
1.0
1.642 0.948 11.704
-1.642 0.948 11.704
0.000 -1.896 11.704
Nd Ti Cd
2 1 1
direct
0.084 0.084 0.084
0.916 0.916 0.916
0.000 0.000 0.000
0.500 0.500 0.500
```

Properties
total moment = 1.24 μB per cell

=====

On energetic grounds, one is preferred over the next structure by 33.3 kJ/mol of atoms.

=====

--- one ---
Material: Nd2Tl2Cd
Method: DFT, GGA-PBE
State: relaxed

```
Nd2Tl2Cd
1.0
-3.571 6.654 3.313
3.571 -6.654 3.313
3.571 6.654 -3.313
Nd Tl Cd
4 4 2
direct
0.137 0.206 0.343
0.363 0.706 0.068
0.637 0.294 0.932
0.863 0.794 0.657
0.122 0.758 0.881
0.378 0.258 0.636
0.622 0.742 0.364
0.878 0.242 0.119
0.250 0.750 0.500
0.750 0.250 0.500
```

Properties
total moment = 0.00 μB per cell

=====

--- two ---
Material: Nd2Tl2Cd
Method: DFT, GGA-PBE
State: relaxed

```
Nd2Tl2Cd
1.0
7.868 0.000 0.000
0.000 7.868 0.000
0.000 0.000 4.746
Nd Tl Cd
4 4 2
direct
0.168 0.332 0.000
0.332 0.832 0.000
0.668 0.168 0.000
0.832 0.668 0.000
0.137 0.637 0.500
0.363 0.137 0.500
0.637 0.863 0.500
0.863 0.363 0.500
0.000 0.000 0.500
0.500 0.500 0.500
```

Properties
total moment = 0.00 μB per cell

=====

On energetic grounds, two is preferred over the next structure by 12.9 kJ/mol of atoms.